[1]
Entry from Alexandria via LeMat-Bulk: a relaxed NdDyH crystal (GGA-PBE).

## Properties
Fermi-level density of states ... 2.8 states/eV per cell
Calculated density ... 7.57 g cm⁻³
Total DFT energy (no corrections) ... -4.456 eV per atom
Magnetic moment ... 0.000 μB/cell
Volume ... 67.5 Å³/cell

abc: 3.6799 3.6799 5.7547
angles: 90.00 90.00 120.00
Space group P3m1 (No. 156)
Inequivalent atoms, fractional coordinates:
Nd 0.0000 0.0000 0.0000
Dy 0.6667 0.3333 0.5171
H 0.3333 0.6667 0.7429

***

[2]
Entry from Alexandria via LeMat-Bulk: a relaxed Rb4Tl2Cd3 crystal (GGA-PBE).

## Properties
Energy of formation ... -0.04 eV/atom
Fermi-level density of states ... 11.8 states/eV per cell
Calculated density ... 4.43 g cm⁻³
Total DFT energy (no corrections) ... -1.306 eV per atom
Magnetic moment ... 0.000 μB/cell
Volume ... 816.4 Å³/cell

abc: 18.993 5.100 8.767
angles: 90.00 105.97 90.00
Space group C2/m (No. 12)
Inequivalent atoms, fractional coordinates:
Rb 0.080 0.000 0.393
Rb 0.236 0.500 0.192
Tl 0.088 0.000 0.961
Cd 0.000 0.500 0.000
Cd 0.095 0.500 0.753

***

[3]
Entry from Alexandria via LeMat-Bulk: a relaxed Pr2IrPt crystal (GGA-PBE).

## Properties
Energy of formation ... -0.86 eV/atom
Fermi-level density of states ... 5.0 states/eV per cell
Calculated density ... 11.37 g cm⁻³
Total DFT energy (no corrections) ... -6.973 eV per atom
Magnetic moment ... 0.000 μB/cell
Volume ... 195.5 Å³/cell

abc: 5.929 4.350 8.075
angles: 90.00 110.17 90.00
Space group P2_1/m (No. 11)
Inequivalent atoms, fractional coordinates:
Pr 0.217 0.250 0.434
Pr 0.221 0.250 0.924
Ir 0.329 0.750 0.709
Pt 0.328 0.750 0.207

***

- Among the records above, which one has the lowest Fermi-level density of states?
  NdDyH

***

- Which of these has the highest Fermi-level density of states?
  Rb4Tl2Cd3